Density functional theory data (GGA-PBE) for a geometry-optimized CsNbS2 structure.

Cell and atoms, written as extended XYZ:
```
4
Lattice="0.000 3.554 3.554 3.554 0.000 3.554 3.554 3.554 0.000" Properties=species:S:1:pos:R:3 pbc="T T T"
S 1.777 1.777 1.777
S 5.330 5.330 5.330
Nb 0.000 0.000 0.000
Cs 3.554 3.554 3.554
```

D(E_F) in states/eV/f.u.: 0.000
Calculated total energy in eV per atom: -4.7053

Density functional theory data (GGA-PBE) for a geometry-optimized CsNb5S8 structure.

Cell and atoms, written as extended XYZ:
```
14
Lattice="3.366 0.000 -0.658 -0.470 9.075 -2.404 0.053 -0.184 9.206" Properties=species:S:1:pos:R:3 pbc="T T T"
S 1.887 1.539 0.716
Nb 2.274 -0.055 2.693
S 0.301 4.477 1.537
Cs 1.494 4.166 7.642
S 2.648 4.531 4.605
S 0.770 1.635 3.935
S 1.059 7.545 5.414
Nb 1.101 -0.091 5.630
S -0.072 7.431 -0.366
Nb -0.419 9.032 -2.141
S 3.037 1.204 6.592
Nb 2.239 3.313 2.515
Nb 0.707 5.666 3.613
S 2.168 7.307 2.152
```

D(E_F) in states/eV/f.u.: 7.536
Calculated total energy in eV per atom: -7.1166

Density functional theory data (GGA-PBE) for a geometry-optimized CsNbS3 structure.

Cell and atoms, written as extended XYZ:
```
20
Lattice="-4.993 0.259 -4.031 -1.774 -7.220 1.895 -7.980 4.634 10.183" Properties=species:S:1:pos:R:3 pbc="T T T"
S -6.202 -3.244 5.011
Cs -9.599 -2.622 4.166
S -4.085 -5.910 3.556
Nb -5.327 -3.946 3.079
Nb -7.631 1.900 7.886
S -8.546 0.917 3.036
Cs -10.040 -1.046 9.930
S -10.662 3.584 4.491
S -9.284 2.666 9.179
S -5.463 -4.993 -1.132
S -6.202 -2.369 1.342
S -8.546 0.043 6.706
Nb -9.420 1.619 4.968
S -7.677 3.170 5.882
Cs -4.707 -1.281 -1.883
S -3.286 -2.742 2.822
Nb -7.117 -4.227 0.161
S -7.071 -5.497 2.165
S -11.461 0.415 5.225
Cs -5.148 0.295 3.881
```

Calculated total energy in eV per atom: -5.7759
Polymorph energy (0 for the lowest one) in kJ per mole of atoms: 0.0

Density functional theory data (GGA-PBE) for a geometry-optimized CsNbS3 structure.

Cell and atoms, written as extended XYZ:
```
20
Lattice="-0.026 -2.592 6.073 7.029 0.896 0.412 -7.204 12.487 5.299" Properties=species:S:1:pos:R:3 pbc="T T T"
S -3.386 5.194 9.322
S 0.590 7.029 4.798
Cs 0.147 6.964 8.358
S -3.373 6.446 6.387
Cs -3.949 10.070 6.076
S 0.216 -1.050 6.673
S -0.791 3.762 6.987
Nb -6.582 10.351 9.775
Cs -0.348 3.826 3.427
Nb 6.381 0.440 2.010
Nb 2.779 6.684 4.660
S 3.172 4.344 5.398
S 3.185 5.597 2.463
Cs 3.748 0.721 5.709
S 4.192 0.785 2.148
S -0.417 11.840 5.112
S 0.228 0.203 3.738
S -0.429 10.588 8.047
S -4.393 10.005 9.637
Nb -2.980 4.107 7.125
```

Calculated total energy in eV per atom: -5.7724
Polymorph energy (0 for the lowest one) in kJ per mole of atoms: 0.3

Density functional theory data (GGA-PBE) for a geometry-optimized CsNbS2 structure.

Cell and atoms, written as extended XYZ:
```
4
Lattice="-5.209 -5.791 5.950 -3.283 -8.456 3.713 -1.482 -6.835 6.867" Properties=species:S:1:pos:R:3 pbc="T T T"
Cs -4.987 -10.541 8.266
Nb 0.000 0.000 0.000
S -0.788 -1.665 1.306
S -9.186 -19.416 15.225
```

D(E_F) in states/eV/f.u.: 2.423
Calculated total energy in eV per atom: -4.8389

Density functional theory data (GGA-PBE) for a geometry-optimized Cs2Nb4S7 structure.

Cell and atoms, written as extended XYZ:
```
13
Lattice="6.426 0.000 0.000 -3.213 5.565 0.000 0.000 0.000 8.946" Properties=species:S:1:pos:R:3 pbc="T T T"
Cs 3.213 1.855 0.000
S 1.126 1.951 5.929
S 2.253 0.000 3.018
S 0.000 0.000 0.000
S 4.173 0.000 5.929
Cs 0.000 3.710 0.000
S -2.087 3.614 5.929
S 2.087 3.614 3.018
Nb 3.213 1.855 4.473
S -1.126 1.951 3.018
Nb 0.000 0.000 2.342
Nb 0.000 0.000 6.604
Nb 0.000 3.710 4.473
```

D(E_F) in states/eV/f.u.: 9.489
Calculated total energy in eV per atom: -6.2659

Density functional theory data (GGA-PBE) for a geometry-optimized CsNbS3 structure.

Cell and atoms, written as extended XYZ:
```
5
Lattice="-1.737 3.217 3.328 -4.107 -2.711 0.477 2.135 -2.597 3.625" Properties=species:S:1:pos:R:3 pbc="T T T"
Cs -1.854 -1.046 3.715
S -0.869 1.608 1.664
S -2.053 -1.356 0.238
S 1.068 -1.299 1.812
Nb 0.000 0.000 0.000
```

D(E_F) in states/eV/f.u.: 2.259
Calculated total energy in eV per atom: -5.5730
Polymorph energy (0 for the lowest one) in kJ per mole of atoms: 19.6

Density functional theory data (GGA-PBE) for a geometry-optimized Cs2NbS4 structure.

Cell and atoms, written as extended XYZ:
```
7
Lattice="4.997 0.000 0.000 0.000 4.997 0.000 2.499 2.499 8.748" Properties=species:S:1:pos:R:3 pbc="T T T"
Nb 0.000 0.000 0.000
S 2.499 2.499 6.346
S 4.997 4.997 2.402
Cs 2.499 2.499 2.609
Cs 4.997 4.997 6.139
S 0.000 2.499 0.000
S 2.499 0.000 0.000
```

D(E_F) in states/eV/f.u.: 4.665
Calculated total energy in eV per atom: -4.9300
Polymorph energy (0 for the lowest one) in kJ per mole of atoms: 5.9

Density functional theory data (GGA-PBE) for a geometry-optimized Cs2NbS3 structure.

Cell and atoms, written as extended XYZ:
```
24
Lattice="-3.364 -2.107 1.306 5.958 -1.815 12.420 -6.030 12.555 4.727" Properties=species:S:1:pos:R:3 pbc="T T T"
Cs -1.930 4.124 11.713
S -4.103 8.622 6.687
Cs 0.995 6.005 15.597
S -1.216 1.143 2.055
Cs -0.386 -0.500 8.230
S -2.443 1.191 5.659
Nb -0.452 1.257 4.206
Nb -2.983 7.376 14.247
Cs -4.431 2.628 2.856
S -4.931 5.086 5.534
S -3.934 5.764 9.197
Cs -3.050 9.132 10.223
S 0.667 0.011 11.766
S 1.495 3.547 12.919
S -2.220 7.490 16.398
Cs 3.897 -1.444 11.050
Cs -1.506 4.509 6.740
S -4.322 9.112 13.601
Cs -7.332 10.077 7.403
S 0.498 2.869 9.256
Nb -5.087 6.462 7.352
S -0.993 7.442 12.794
S 0.886 -0.479 4.852
Nb 1.652 2.171 11.101
```

D(E_F) in states/eV/f.u.: 1.437
Calculated total energy in eV per atom: -5.1194

Density functional theory data (GGA-PBE) for a geometry-optimized CsNb3S structure.

Cell and atoms, written as extended XYZ:
```
5
Lattice="-4.316 -0.891 -1.932 2.126 -1.962 -3.846 -0.075 -4.303 2.153" Properties=species:S:1:pos:R:3 pbc="T T T"
Cs -1.133 -3.578 -1.812
Nb 1.063 -0.981 -1.923
S 0.000 0.000 0.000
Nb -2.158 -0.446 -0.966
Nb -0.038 -2.151 1.077
```

D(E_F) in states/eV/f.u.: 10.980
Calculated total energy in eV per atom: -6.1104
Polymorph energy (0 for the lowest one) in kJ per mole of atoms: 0.0

Density functional theory data (GGA-PBE) for a geometry-optimized CsNbS2 structure.

Cell and atoms, written as extended XYZ:
```
4
Lattice="3.972 0.001 0.000 -0.001 3.972 -0.001 -1.986 -1.983 7.295" Properties=species:S:1:pos:R:3 pbc="T T T"
S 2.411 1.063 3.974
Nb 0.425 1.063 5.311
S 0.426 -0.923 6.649
Cs 0.425 3.050 1.664
```

D(E_F) in states/eV/f.u.: 2.353
Calculated total energy in eV per atom: -5.6327

Density functional theory data (GGA-PBE) for a geometry-optimized Cs3Sc3NbS8 structure.

Cell and atoms, written as extended XYZ:
```
15
Lattice="7.561 0.000 0.000 -3.780 6.551 -0.024 0.000 -4.339 8.164" Properties=species:S:1:pos:R:3 pbc="T T T"
S 0.000 -0.036 5.474
S 1.841 -1.111 2.679
Cs -1.890 3.275 -0.012
Cs 0.000 0.000 0.000
Sc 1.890 1.106 4.070
Nb 0.000 -2.170 4.082
S 3.780 2.247 2.666
Cs 1.890 3.275 -0.012
S -1.939 3.323 5.461
S 5.720 -1.112 2.679
Sc 3.780 -2.170 4.082
S 0.000 2.193 2.658
Sc -1.890 1.106 4.070
S 3.780 0.019 5.481
S 1.939 3.323 5.461
```

D(E_F) in states/eV/f.u.: 4.319
Calculated total energy in eV per atom: -5.8519

Computed values of formation energy (no corrections) (unit: eV per atom) for the preceding records, in sequence: 0.09, -1.10, -1.11, -1.11, -0.04, -0.81, -0.91, -0.89, -1.09, 0.93, -0.84, -1.54.